Record 1
# PBE Li9O3F2, relaxed
# Volume = 11.4 A^3/atom
# Total DFT energy (no corrections) = -4.47 eV per atom
# SG = I-4m2, No. 119
data_Li9O3F2
_chemical_formula_sum 'Li9 O3 F2'
_symmetry_space_group_name_H-M 'P 1'
_symmetry_Int_Tables_number 1
_symmetry_space_group_name_Hall 'P 1'
_cell_length_a 3.356
_cell_length_b 3.356
_cell_length_c 14.385
_cell_angle_alpha 96.70
_cell_angle_beta 96.70
_cell_angle_gamma 90.00
loop_
_atom_site_label
_atom_site_type_symbol
_atom_site_fract_x
_atom_site_fract_y
_atom_site_fract_z
Li1 Li 0.628 0.628 0.257
Li2 Li 0.209 0.209 0.418
Li3 Li 0.791 0.791 0.582
Li4 Li 0.372 0.372 0.743
Li5 Li 0.873 0.873 0.746
Li6 Li 0.500 0.500 0.000
Li7 Li 0.127 0.127 0.254
Li8 Li 0.710 0.710 0.419
Li9 Li 0.290 0.290 0.581
O1 O 0.168 0.668 0.337
O2 O 0.332 0.832 0.663
O3 O 0.750 0.250 0.500
F1 F 0.899 0.399 0.799
F2 F 0.601 0.101 0.201


Record 2
# PBE TlSbRu, relaxed
# Volume = 22.8 A^3/atom
# Energy above the most stable polymorph in this dataset = 228.6 meV per atom
# Total DFT energy (no corrections) = -5.00 eV per atom
# SG = F-43m, No. 216
data_TlSbRu
_chemical_formula_sum 'Tl1 Sb1 Ru1'
_symmetry_space_group_name_H-M 'P 1'
_symmetry_Int_Tables_number 1
_symmetry_space_group_name_Hall 'P 1'
_cell_length_a 4.593
_cell_length_b 4.593
_cell_length_c 4.593
_cell_angle_alpha 60.00
_cell_angle_beta 60.00
_cell_angle_gamma 60.00
loop_
_atom_site_label
_atom_site_type_symbol
_atom_site_fract_x
_atom_site_fract_y
_atom_site_fract_z
Ru1 Ru 0.750 0.750 0.750
Sb1 Sb 0.000 0.000 0.000
Tl1 Tl 0.500 0.500 0.500


no.,formation energy without anion corrections (eV/f.u.)
1,-26.73
2,0.75